DFT (PBE) results for a relaxed structure of InAgPb.

The structure in POSCAR format:
```
InAgPb
1.0
4.295 0.000 0.000
-2.012 5.238 0.000
-2.143 -1.229 6.890
In Ag Pb
2 2 2
Direct
0.000 0.000 0.000
0.329 0.102 0.554
0.577 0.898 0.253
0.659 0.699 0.603
0.199 0.526 0.852
0.890 0.476 0.281
```

Computed properties:
- M_tot: 0.0 μB/f.u.
- Space-group type: P1
- Calculated total energy: -18.32 eV/cell
- Formation energy: 45 meV/atom